Record 1
GaSnTe2S: single point on PBEsol structure, SCAN. Values from VASP.

Results
* crystal system: tetragonal
* symmetry: P4/mmm (123)

The structure in Quantum ESPRESSO input format:
```
&SYSTEM
  ibrav = 0, nat = 5, ntyp = 4
/
ATOMIC_SPECIES
Te 127.60 Te.upf
S 32.06 S.upf
Ga 69.72 Ga.upf
Sn 118.71 Sn.upf
CELL_PARAMETERS angstrom
-4.219 -0.413 2.553
2.802 -2.433 4.237
0.901 5.058 2.309
ATOMIC_POSITIONS crystal
Te 0.000 0.000 0.500
Te 0.000 0.500 0.000
S 0.500 0.000 0.000
Ga 0.500 0.500 0.500
Sn 0.000 0.000 0.000
```



Record 2
SrGaS2: single point on PBEsol structure, SCAN. Values from VASP.

Results
* crystal system: tetragonal
* symmetry: I-42d (122)

The structure in Quantum ESPRESSO input format:
```
&SYSTEM
  ibrav = 0, nat = 8, ntyp = 3
/
ATOMIC_SPECIES
S 32.06 S.upf
Sr 87.62 Sr.upf
Ga 69.72 Ga.upf
CELL_PARAMETERS angstrom
-2.812 1.503 -4.998
-4.478 -3.611 1.433
0.674 5.991 4.938
ATOMIC_POSITIONS crystal
S 0.437 0.875 0.250
S 0.813 0.375 0.250
S 0.625 0.563 0.750
S 0.125 0.187 0.750
Sr 0.250 0.750 0.500
Sr 0.000 0.000 0.000
Ga 0.750 0.250 0.500
Ga 0.500 0.500 0.000
```



Record 3
GaTcS3: single point on PBEsol structure, SCAN. Values from VASP.

Results
* crystal system: cubic
* symmetry: Pm-3m (221)

The structure in Quantum ESPRESSO input format:
```
&SYSTEM
  ibrav = 0, nat = 5, ntyp = 3
/
ATOMIC_SPECIES
S 32.06 S.upf
Ga 69.72 Ga.upf
Tc 98.00 Tc.upf
CELL_PARAMETERS angstrom
4.597 0.000 0.000
0.000 4.597 0.000
0.000 0.000 4.597
ATOMIC_POSITIONS crystal
S 0.000 0.500 0.000
S 0.500 0.000 0.000
S 0.000 0.000 0.500
Ga 0.000 0.000 0.000
Tc 0.500 0.500 0.500
```



Record 4
GaTcS2: single point on PBEsol structure, SCAN. Values from VASP.

Results
* crystal system: trigonal
* symmetry: R-3m (166)

The structure in Quantum ESPRESSO input format:
```
&SYSTEM
  ibrav = 0, nat = 4, ntyp = 3
/
ATOMIC_SPECIES
Ga 69.72 Ga.upf
Tc 98.00 Tc.upf
S 32.06 S.upf
CELL_PARAMETERS angstrom
-0.799 1.690 2.631
1.194 -0.836 2.879
5.950 4.765 0.726
ATOMIC_POSITIONS crystal
Ga 0.500 0.500 0.500
Tc 0.000 0.000 0.000
S 0.100 0.100 0.700
S 0.900 0.900 0.300
```



Record 5
GaTc3S: single point on PBEsol structure, SCAN. Values from VASP.

Results
* crystal system: cubic
* symmetry: Pm-3m (221)

The structure in Quantum ESPRESSO input format:
```
&SYSTEM
  ibrav = 0, nat = 5, ntyp = 3
/
ATOMIC_SPECIES
Tc 98.00 Tc.upf
S 32.06 S.upf
Ga 69.72 Ga.upf
CELL_PARAMETERS angstrom
-2.072 1.086 -3.579
2.681 -2.421 -2.287
-2.607 -3.353 0.492
ATOMIC_POSITIONS crystal
Tc 0.000 0.500 0.000
Tc 0.000 0.000 0.500
Tc 0.500 0.000 0.000
S 0.000 0.000 0.000
Ga 0.500 0.500 0.500
```



Record 6
GaTeS3: single point on PBEsol structure, SCAN. Values from VASP.

Results
* crystal system: cubic
* symmetry: Pm-3m (221)

The structure in Quantum ESPRESSO input format:
```
&SYSTEM
  ibrav = 0, nat = 5, ntyp = 3
/
ATOMIC_SPECIES
S 32.06 S.upf
Te 127.60 Te.upf
Ga 69.72 Ga.upf
CELL_PARAMETERS angstrom
5.033 0.000 0.000
0.000 5.033 0.000
0.000 0.000 5.033
ATOMIC_POSITIONS crystal
S 0.000 0.500 0.000
S 0.000 0.000 0.500
S 0.500 0.000 0.000
Te 0.000 0.000 0.000
Ga 0.500 0.500 0.500
```



no.,raw total energy (eV/atom),volume (Å³/cell)
1,-26.90,157
2,-15.62,231
3,-15.38,97
4,-17.53,67
5,-25.79,78
6,-16.09,127